## i
Density functional theory data (PBE) for a relaxed structure of CdGaReSn.

The space group is Cm (No. 8) and the conventional cell measures 13.2803, 4.5102 and 2.9363 Å, with angles of 90.00, 92.63 and 90.00 degrees. The inequivalent atoms are Cd at (0.0000, 0.0000, 0.0000), Ga at (0.3701, 0.0000, 0.0907), Re at (0.1978, 0.0000, 0.5364) and Sn at (0.1856, 0.5000, 0.0333).



## ii
Density functional theory data (PBE) for a relaxed structure of CdGaReSn.

The space group is P1 (No. 1) and the conventional cell measures 3.4422, 5.1231 and 5.2242 Å, with angles of 111.48, 101.47 and 104.84 degrees. The inequivalent atoms are Cd at (0.0000, 0.0000, 0.0000), Ga at (0.4039, 0.4252, 0.8370), Re at (0.7474, 0.4154, 0.4490) and Sn at (0.4267, 0.8343, 0.4261).



Energies in kJ/mol of atoms, measured from the most stable structure: i 1.7; ii 0.0.



## i
Density functional theory data (PBE) for a relaxed structure of CdGaRh3.

The space group is Pm-3m (No. 221) and the conventional cell measures 4.8696, 4.8696 and 4.8696 Å, with angles of 90.00, 90.00 and 90.00 degrees. The inequivalent atoms are Cd at (0.0000, 0.0000, 0.0000), Ga at (0.5000, 0.5000, 0.5000) and Rh at (0.0000, 0.0000, 0.5000).



## ii
Density functional theory data (PBE) for a relaxed structure of CdGaRh3.

The space group is Pm-3m (No. 221) and the conventional cell measures 4.5629, 4.5629 and 4.5629 Å, with angles of 90.00, 90.00 and 90.00 degrees. The inequivalent atoms are Cd at (0.0000, 0.0000, 0.0000), Ga at (0.5000, 0.5000, 0.5000) and Rh at (0.0000, 0.5000, 0.5000).



Energies in kJ/mol of atoms, measured from the most stable structure: i 93.9; ii 0.0.



## i
Density functional theory data (PBE) for a relaxed structure of CdGa2Rh2.

The space group is I4/mmm (No. 139) and the conventional cell measures 3.7941, 3.7941 and 11.8855 Å, with angles of 90.00, 90.00 and 90.00 degrees. The inequivalent atoms are Cd at (0.0000, 0.0000, 0.0000), Ga at (0.0000, 0.5000, 0.2500) and Rh at (0.0000, 0.0000, 0.3890).



## ii
Density functional theory data (PBE) for a relaxed structure of CdGa2Rh2.

The space group is P4/mbm (No. 127) and the conventional cell measures 7.3103, 7.3103 and 2.9641 Å, with angles of 90.00, 90.00 and 90.00 degrees. The inequivalent atoms are Cd at (0.0000, 0.0000, 0.0000), Ga at (0.1487, 0.3513, 0.5000) and Rh at (0.1471, 0.6471, 0.0000).



## iii
Density functional theory data (PBE) for a relaxed structure of CdGa2Rh2.

The space group is I4/mmm (No. 139) and the conventional cell measures 4.2236, 4.2236 and 9.8639 Å, with angles of 90.00, 90.00 and 90.00 degrees. The inequivalent atoms are Cd at (0.0000, 0.0000, 0.0000), Ga at (0.0000, 0.0000, 0.3761) and Rh at (0.0000, 0.5000, 0.2500).



Energies in kJ/mol of atoms, measured from the most stable structure: i 15.6; ii 0.0; iii 18.4.



## i
Density functional theory data (PBE) for a relaxed structure of CdGa2Ru2.

The space group is P4/mbm (No. 127) and the conventional cell measures 7.1016, 7.1016 and 3.1543 Å, with angles of 90.00, 90.00 and 90.00 degrees. The inequivalent atoms are Cd at (0.0000, 0.0000, 0.0000), Ga at (0.1506, 0.3494, 0.5000) and Ru at (0.1441, 0.6441, 0.0000).



## ii
Density functional theory data (PBE) for a relaxed structure of CdGa2Ru2.

The space group is I4/mmm (No. 139) and the conventional cell measures 3.8269, 3.8269 and 11.8156 Å, with angles of 90.00, 90.00 and 90.00 degrees. The inequivalent atoms are Cd at (0.0000, 0.0000, 0.0000), Ga at (0.0000, 0.5000, 0.2500) and Ru at (0.0000, 0.0000, 0.3932).



Energies in kJ/mol of atoms, measured from the most stable structure: i 0.0; ii 23.9.



## i
Density functional theory data (PBE) for a relaxed structure of Cd2Ga2Ru.

The space group is I4/mmm (No. 139) and the conventional cell measures 3.5997, 3.5997 and 15.1248 Å, with angles of 90.00, 90.00 and 90.00 degrees. The inequivalent atoms are Cd at (0.0000, 0.0000, 0.0924), Ga at (0.0000, 0.5000, 0.2500) and Ru at (0.0000, 0.0000, 0.5000).



## ii
Density functional theory data (PBE) for a relaxed structure of Cd2Ga2Ru.

The space group is P4/mbm (No. 127) and the conventional cell measures 7.2937, 7.2937 and 3.5512 Å, with angles of 90.00, 90.00 and 90.00 degrees. The inequivalent atoms are Cd at (0.1371, 0.3629, 0.0000), Ga at (0.1708, 0.6708, 0.5000) and Ru at (0.0000, 0.0000, 0.0000).



Energies in kJ/mol of atoms, measured from the most stable structure: i 0.0; ii 6.1.



## i
Density functional theory data (PBE) for a relaxed structure of Cd3GaRu.

The space group is Pm-3m (No. 221) and the conventional cell measures 5.1877, 5.1877 and 5.1877 Å, with angles of 90.00, 90.00 and 90.00 degrees. The inequivalent atoms are Cd at (0.0000, 0.0000, 0.5000), Ga at (0.5000, 0.5000, 0.5000) and Ru at (0.0000, 0.0000, 0.0000).



## ii
Density functional theory data (PBE) for a relaxed structure of Cd3GaRu.

The space group is Pm-3m (No. 221) and the conventional cell measures 4.9627, 4.9627 and 4.9627 Å, with angles of 90.00, 90.00 and 90.00 degrees. The inequivalent atoms are Cd at (0.0000, 0.0000, 0.5000), Ga at (0.0000, 0.0000, 0.0000) and Ru at (0.5000, 0.5000, 0.5000).



Energies in kJ/mol of atoms, measured from the most stable structure: i 0.0; ii 44.6.



## i
Density functional theory data (PBE) for a relaxed structure of Cd2GaS2.

The space group is I4/mmm (No. 139) and the conventional cell measures 5.0545, 5.0545 and 9.3036 Å, with angles of 90.00, 90.00 and 90.00 degrees. The inequivalent atoms are Cd at (0.0000, 0.0000, 0.1527), Ga at (0.0000, 0.0000, 0.5000) and S at (0.0000, 0.5000, 0.2500).



## ii
Density functional theory data (PBE) for a relaxed structure of Cd2GaS2.

The space group is P4/mbm (No. 127) and the conventional cell measures 7.6340, 7.6340 and 3.6073 Å, with angles of 90.00, 90.00 and 90.00 degrees. The inequivalent atoms are Cd at (0.1368, 0.3632, 0.0000), Ga at (0.0000, 0.0000, 0.0000) and S at (0.1696, 0.6696, 0.5000).



Energies in kJ/mol of atoms, measured from the most stable structure: i 0.0; ii 2.6.



## i
Density functional theory data (PBE) for a relaxed structure of Cd3GaS.

The space group is Pm-3m (No. 221) and the conventional cell measures 5.2006, 5.2006 and 5.2006 Å, with angles of 90.00, 90.00 and 90.00 degrees. The inequivalent atoms are Cd at (0.0000, 0.0000, 0.5000), Ga at (0.5000, 0.5000, 0.5000) and S at (0.0000, 0.0000, 0.0000).



## ii
Density functional theory data (PBE) for a relaxed structure of Cd3GaS.

The space group is Pm-3m (No. 221) and the conventional cell measures 5.1089, 5.1089 and 5.1089 Å, with angles of 90.00, 90.00 and 90.00 degrees. The inequivalent atoms are Cd at (0.0000, 0.0000, 0.5000), Ga at (0.0000, 0.0000, 0.0000) and S at (0.5000, 0.5000, 0.5000).



Energies in kJ/mol of atoms, measured from the most stable structure: i 1.9; ii 0.0.



## i
Density functional theory data (PBE) for a relaxed structure of Cd2Ga2S.

The space group is P4/mbm (No. 127) and the conventional cell measures 7.1747, 7.1747 and 4.3981 Å, with angles of 90.00, 90.00 and 90.00 degrees. The inequivalent atoms are Cd at (0.1463, 0.3537, 0.0000), Ga at (0.1523, 0.6523, 0.5000) and S at (0.0000, 0.0000, 0.0000).



## ii
Density functional theory data (PBE) for a relaxed structure of Cd2Ga2S.

The space group is P4/mbm (No. 127) and the conventional cell measures 6.6142, 6.6142 and 5.1779 Å, with angles of 90.00, 90.00 and 90.00 degrees. The inequivalent atoms are Cd at (0.1795, 0.3205, 0.0000), Ga at (0.1425, 0.6425, 0.5000) and S at (0.0000, 0.0000, 0.5000).



Energies in kJ/mol of atoms, measured from the most stable structure: i 2.9; ii 0.0.



## i
Density functional theory data (PBE) for a relaxed structure of CdGa2Sb2.

The space group is P4/mbm (No. 127) and the conventional cell measures 7.9020, 7.9020 and 3.8377 Å, with angles of 90.00, 90.00 and 90.00 degrees. The inequivalent atoms are Cd at (0.0000, 0.0000, 0.0000), Ga at (0.1387, 0.3613, 0.0000) and Sb at (0.1548, 0.6548, 0.5000).



## ii
Density functional theory data (PBE) for a relaxed structure of CdGa2Sb2.

The space group is I4/mmm (No. 139) and the conventional cell measures 4.2068, 4.2068 and 14.7297 Å, with angles of 90.00, 90.00 and 90.00 degrees. The inequivalent atoms are Cd at (0.0000, 0.0000, 0.0000), Ga at (0.0000, 0.5000, 0.2500) and Sb at (0.0000, 0.0000, 0.3813).



Energies in kJ/mol of atoms, measured from the most stable structure: i 4.7; ii 0.0.



## i
Density functional theory data (PBE) for a relaxed structure of CdGa2Sb2.

The space group is I4/mmm (No. 139) and the conventional cell measures 5.0380, 5.0380 and 10.2639 Å, with angles of 90.00, 90.00 and 90.00 degrees. The inequivalent atoms are Cd at (0.0000, 0.0000, 0.0000), Ga at (0.0000, 0.0000, 0.3798) and Sb at (0.0000, 0.5000, 0.2500).



## ii
Density functional theory data (PBE) for a relaxed structure of CdGa2Sb2.

The space group is P4/mbm (No. 127) and the conventional cell measures 8.4982, 8.4982 and 3.4587 Å, with angles of 90.00, 90.00 and 90.00 degrees. The inequivalent atoms are Cd at (0.0000, 0.0000, 0.0000), Ga at (0.1314, 0.3686, 0.5000) and Sb at (0.1664, 0.6664, 0.0000).



Energies in kJ/mol of atoms, measured from the most stable structure: i 1.9; ii 0.0.



## i
Density functional theory data (PBE) for a relaxed structure of CdGaSb2.

The space group is Fm-3m (No. 225) and the conventional cell measures 7.3432, 7.3432 and 7.3432 Å, with angles of 90.00, 90.00 and 90.00 degrees. The inequivalent atoms are Cd at (0.0000, 0.0000, 0.0000), Ga at (0.0000, 0.0000, 0.5000) and Sb at (0.2500, 0.2500, 0.2500).



## ii
Density functional theory data (PBE) for a relaxed structure of CdGaSb2.

The space group is I-42d (No. 122) and the conventional cell measures 6.4655, 6.4655 and 12.3672 Å, with angles of 90.00, 90.00 and 90.00 degrees. The inequivalent atoms are Cd at (0.0000, 0.0000, 0.0000), Ga at (0.0000, 0.0000, 0.5000) and Sb at (0.2294, 0.2500, 0.6250).



## iii
Density functional theory data (PBE) for a relaxed structure of CdGaSb2.

The space group is R-3m (No. 166, hexagonal axes) and the conventional cell measures 3.2827, 3.2827 and 33.4508 Å, with angles of 90.00, 90.00 and 120.00 degrees. The inequivalent atoms are Cd at (0.0000, 0.0000, 0.0000), Ga at (0.0000, 0.0000, 0.5000) and Sb at (0.0000, 0.0000, 0.0902).



Energies in kJ/mol of atoms, measured from the most stable structure: i 15.2; ii 0.0; iii 13.6.